Entry 1:
Material: PuThSe4
Method: DFT, PBE
State: optimized geometry

Cell lengths 4.890, 4.890, 6.909 Å; angles 90.06, 90.06, 90.00 degrees
Positions (direct):
Pu  0.000  0.000  0.000
Th  0.500  0.500  0.500
Se  0.000  0.500  0.245
Se  0.000  0.500  0.755
Se  0.500  0.000  0.245
Se  0.500  0.000  0.755

raw formation energy: -1.446 eV per atom
space group: C2/m
E_tot: -44.37 eV per cell
energy relative to the lowest polymorph listed for this composition: 0.00 eV per formula unit
M_tot: 0.662 μB per atom

---

Entry 2:
Material: Pu4ThSe5
Method: DFT, PBE
State: optimized geometry

Cell lengths 7.221, 7.221, 10.205 Å; angles 118.30, 118.30, 33.29 degrees
Positions (direct):
Pu  0.098  0.098  0.397
Pu  0.298  0.298  0.200
Pu  0.702  0.702  0.800
Pu  0.902  0.902  0.603
Th  0.500  0.500  0.000
Se  0.104  0.104  0.897
Se  0.297  0.297  0.694
Se  0.500  0.500  0.500
Se  0.703  0.703  0.306
Se  0.896  0.896  0.103

raw formation energy: -1.531 eV per atom
space group: C2/m
E_tot: -97.48 eV per cell
M_tot: 2.298 μB per atom

---

Entry 3:
Material: PuTh6Se8
Method: DFT, PBE
State: optimized geometry

Cell lengths 8.359, 8.359, 8.359 Å; angles 60.00, 60.00, 60.00 degrees
Positions (direct):
Pu  0.000  0.000  0.000
Th  0.000  0.000  0.500
Th  0.000  0.500  0.000
Th  0.000  0.500  0.500
Th  0.500  0.000  0.000
Th  0.500  0.000  0.500
Th  0.500  0.500  0.000
Se  0.250  0.250  0.250
Se  0.256  0.256  0.744
Se  0.256  0.744  0.256
Se  0.256  0.744  0.744
Se  0.744  0.256  0.256
Se  0.744  0.256  0.744
Se  0.744  0.744  0.256
Se  0.750  0.750  0.750

raw formation energy: -1.594 eV per atom
space group: Fm-3m
E_tot: -110.64 eV per cell
M_tot: 0.442 μB per atom

---

The lowest M_tot belongs to which entry?
PuTh6Se8

---

Please write out number 2 again, unchanged.
Material: Pu4ThSe5
Method: DFT, PBE
State: optimized geometry

Cell lengths 7.221, 7.221, 10.205 Å; angles 118.30, 118.30, 33.29 degrees
Positions (direct):
Pu  0.098  0.098  0.397
Pu  0.298  0.298  0.200
Pu  0.702  0.702  0.800
Pu  0.902  0.902  0.603
Th  0.500  0.500  0.000
Se  0.104  0.104  0.897
Se  0.297  0.297  0.694
Se  0.500  0.500  0.500
Se  0.703  0.703  0.306
Se  0.896  0.896  0.103

raw formation energy: -1.531 eV per atom
space group: C2/m
E_tot: -97.48 eV per cell
M_tot: 2.298 μB per atom

---

raw formation energy of number 2 (Pu4ThSe5)?
-1.531 eV per atom

---

Look up the raw formation energy of the second one.
-1.531 eV per atom